Below is a relaxed PIrIO2 crystal, with properties calculated at the PBE level.

The space group is P4/mmm (No. 123) and the conventional cell measures 3.876, 3.876 and 5.318 Å, with angles of 90.00, 90.00 and 90.00 degrees. The inequivalent atoms are P at (0.000, 0.000, 0.000), Ir at (0.000, 0.000, 0.500), I at (0.500, 0.500, 0.000) and O at (0.000, 0.500, 0.500).

The energy above the most stable polymorph in this dataset comes out at 0.0000 eV per atom. As for the magnetization: 0.31 μB/f.u. As for the calculated total energy: -5.17 eV/atom. The formation energy (no corrections) is -0.02 eV/atom.